Record 1
Density functional theory data (GGA-PBE) for a relaxed NaNdI2 crystal.

Values from the calculation:
For the distance to the lowest polymorph of the same formula, the calculation gives 0.18 eV per formula unit. The calculation puts the density of states at the Fermi level at 0.2483 states/eV/atom.

```
NaNdI2
1.0
-3.4578 0.8522 -1.7627
-1.9576 -1.5712 3.0804
-0.0717 6.9945 3.5220
I Na Nd
2 1 1
direct
0.0000 0.0000 0.7669
0.0000 0.0000 0.2331
0.5000 0.5000 0.5000
0.5000 0.5000 0.0000
```



Record 2
Density functional theory data (GGA-PBE) for a relaxed NaNd2I8 crystal.

Values from the calculation:
The calculation puts the density of states at the Fermi level at 1.1988 states/eV/atom.

```
NaNd2I8
1.0
6.3402 0.0751 0.0642
1.0005 10.4052 2.6017
1.0005 4.1832 9.8762
Na Nd I
1 2 8
direct
0.0000 0.0000 0.0000
0.2664 0.1736 0.1736
0.7336 0.8264 0.8264
0.7364 0.1681 0.6828
0.2636 0.3172 0.8319
0.7603 0.1711 0.1711
0.2397 0.8289 0.8289
0.7364 0.6828 0.1681
0.2636 0.8319 0.3172
0.2086 0.3295 0.3295
0.7914 0.6705 0.6705
```



Record 3
Density functional theory data (GGA-PBE) for a relaxed Na3NdI6 crystal.

Values from the calculation:
For the distance to the lowest polymorph of the same formula, the calculation gives 0.05 eV per formula unit. The calculation puts the density of states at the Fermi level at 0.0000 states/eV/atom.

```
Na3NdI6
1.0
7.8903 0.0000 -0.0151
0.0000 8.4605 0.0000
0.0792 0.0000 11.9564
Na Nd I
6 2 12
direct
0.5410 0.9017 0.7597
0.5000 0.5000 0.0000
0.4590 0.0983 0.2403
0.0410 0.5983 0.2597
0.0000 0.0000 0.5000
0.9590 0.4017 0.7403
0.5000 0.5000 0.5000
0.0000 0.0000 0.0000
0.6756 0.1806 0.9269
0.6692 0.1851 0.5806
0.6506 0.4388 0.2592
0.3494 0.5612 0.7408
0.3308 0.8149 0.4194
0.3244 0.8194 0.0731
0.1756 0.3194 0.4269
0.1692 0.3149 0.0806
0.1506 0.0612 0.7592
0.8494 0.9388 0.2408
0.8308 0.6851 0.9194
0.8244 0.6806 0.5731
```



Record 4
Density functional theory data (GGA-PBE) for a relaxed NaNdI4 crystal.

Values from the calculation:
For the distance to the lowest polymorph of the same formula, the calculation gives 0.45 eV per formula unit. The calculation puts the density of states at the Fermi level at 0.0000 states/eV/atom.

```
NaNdI4
1.0
-3.0937 -4.4874 6.2523
-4.9981 -5.0442 -4.2865
6.9079 -6.0559 -0.9283
Na Nd I
2 2 8
direct
0.8592 0.8592 0.7500
0.1408 0.1408 0.2500
0.4920 0.4920 0.7500
0.5080 0.5080 0.2500
0.7706 0.2028 0.2500
0.2294 0.7972 0.7500
0.2028 0.7706 0.2500
0.7972 0.2294 0.7500
0.6737 0.6737 0.5067
0.3263 0.3263 0.0067
0.6737 0.6737 0.9933
0.3263 0.3263 0.4933
```



Record 5
Density functional theory data (GGA-PBE) for a relaxed Na4Nd2I9 crystal.

```
Na4Nd2I9
1.0
-7.6279 -2.6540 -0.9140
-2.5150 -6.6043 4.0168
-6.3151 12.4750 16.5479
Na Nd I
8 4 18
direct
0.3334 0.3335 0.9848
0.3335 0.3336 0.4848
0.6666 0.6665 0.0152
0.3324 0.3336 0.1710
0.6665 0.6664 0.5152
0.6658 0.6670 0.3292
0.3342 0.3330 0.6708
0.6676 0.6664 0.8290
0.9993 0.0004 0.3373
0.9996 0.0001 0.1626
0.0007 0.9996 0.6627
0.0004 0.9999 0.8374
0.0010 0.3186 0.7501
0.3193 0.6804 0.7501
0.6815 0.9998 0.7500
0.9990 0.6814 0.2499
0.6807 0.3196 0.2499
0.3185 0.0002 0.2500
0.6803 0.9792 0.4146
0.9786 0.3404 0.4147
0.3396 0.6813 0.4147
0.6590 0.0213 0.0853
0.3190 0.6596 0.0854
0.0210 0.3188 0.0851
0.3197 0.0208 0.5854
0.0214 0.6596 0.5853
0.6604 0.3187 0.5853
0.3410 0.9787 0.9147
0.6810 0.3404 0.9146
0.9790 0.6812 0.9149
```



Record 6
Density functional theory data (GGA-PBE) for a relaxed Na5Nd3I12 crystal.

Values from the calculation:
The calculation puts the density of states at the Fermi level at 0.5810 states/eV/atom.

```
Na5Nd3I12
1.0
16.1003 0.0000 0.0000
-5.3668 15.1795 0.0000
-5.3668 -7.5898 13.1459
Nd Na I
12 20 48
direct
0.7500 0.3750 0.1250
0.8750 0.7500 0.1250
0.3750 0.7500 0.6250
0.2500 0.1250 0.3750
0.8750 0.1250 0.2500
0.3750 0.6250 0.2500
0.6250 0.3750 0.7500
0.1250 0.8750 0.7500
0.7500 0.8750 0.6250
0.6250 0.2500 0.3750
0.1250 0.2500 0.8750
0.2500 0.6250 0.8750
0.1250 0.3750 0.2500
0.0000 0.5000 0.0000
0.0000 0.0000 0.0000
0.3750 0.2500 0.1250
0.5000 0.0000 0.5000
0.5000 0.5000 0.0000
0.1250 0.7500 0.3750
0.7500 0.1250 0.8750
0.7500 0.6250 0.3750
0.3750 0.1250 0.7500
0.6250 0.8750 0.2500
0.5000 0.5000 0.5000
0.5000 0.0000 0.0000
0.0000 0.0000 0.5000
0.2500 0.3750 0.6250
0.2500 0.8750 0.1250
0.0000 0.5000 0.5000
0.8750 0.2500 0.6250
0.6250 0.7500 0.8750
0.8750 0.6250 0.7500
0.7243 0.1316 0.0493
0.3250 0.5493 0.4176
0.9507 0.3684 0.2757
0.5493 0.2243 0.1316
0.5926 0.7243 0.6750
0.9507 0.5824 0.1750
0.3250 0.7757 0.4074
0.0824 0.9074 0.1316
0.5824 0.9507 0.6750
0.7243 0.5926 0.1750
0.7757 0.4507 0.3684
0.8250 0.9176 0.0493
0.1316 0.7243 0.5493
0.3684 0.4176 0.0926
0.0926 0.9176 0.3684
0.4074 0.1316 0.5824
0.0926 0.1750 0.2243
0.4507 0.6750 0.0824
0.8250 0.9074 0.2757
0.1316 0.4074 0.0824
0.3684 0.9507 0.7757
0.5824 0.6316 0.4074
0.9176 0.8250 0.5493
0.7757 0.3250 0.9074
0.4176 0.3684 0.5926
0.0824 0.1750 0.4507
0.2243 0.6750 0.0926
0.1750 0.0926 0.7243
0.6316 0.0493 0.2243
0.8684 0.5926 0.9176
0.5493 0.3250 0.9176
0.5926 0.8684 0.4176
0.9074 0.8250 0.7757
0.9074 0.0824 0.6316
0.8684 0.2757 0.4507
0.1750 0.0824 0.9507
0.6316 0.5824 0.9074
0.4176 0.0493 0.3250
0.2757 0.4074 0.8250
0.2243 0.5493 0.6316
0.9176 0.0926 0.8684
0.6750 0.2243 0.5926
0.4507 0.7757 0.8684
0.0493 0.4176 0.8250
0.4074 0.2757 0.3250
0.0493 0.6316 0.7243
0.6750 0.4507 0.5824
0.2757 0.8684 0.9507
```



Record 7
Density functional theory data (GGA-PBE) for a relaxed NaNdI4 crystal.

Values from the calculation:
For the distance to the lowest polymorph of the same formula, the calculation gives 0.00 eV per formula unit. The calculation puts the density of states at the Fermi level at 0.0000 states/eV/atom.

```
NaNdI4
1.0
4.5730 0.0000 0.0000
0.0000 7.5738 -1.0872
0.0000 0.7517 8.0463
Na Nd I
1 1 4
direct
0.5000 0.0000 0.5000
0.0000 0.0000 0.0000
0.0000 0.7743 0.3076
0.5000 0.2397 0.1629
0.5000 0.7603 0.8371
0.0000 0.2257 0.6924
```



Record 8
Density functional theory data (GGA-PBE) for a relaxed Na3Nd3IO8 crystal.

Values from the calculation:
The calculation puts the density of states at the Fermi level at 0.0432 states/eV/atom.

```
Na3Nd3IO8
1.0
7.3169 0.0000 0.0000
-3.6585 6.1600 -0.1052
0.0000 -4.1601 5.6164
Na Nd I O
3 3 1 8
direct
0.0000 0.0000 0.0000
0.0000 0.5000 0.0000
0.5000 0.5000 0.0000
0.5000 0.0000 0.5000
0.5000 0.5000 0.5000
0.0000 0.5000 0.5000
0.0000 0.0000 0.5000
0.2567 0.5134 0.2849
0.7433 0.4866 0.7151
0.7807 0.5615 0.3065
0.2193 0.4385 0.6935
0.7613 0.0172 0.2934
0.2387 0.9828 0.7066
0.2559 0.0172 0.2934
0.7441 0.9828 0.7066
```



Record 9
Density functional theory data (GGA-PBE) for a relaxed Na2NdIO6 crystal.

Values from the calculation:
The calculation puts the density of states at the Fermi level at 0.0000 states/eV/atom.

```
Na2NdIO6
1.0
-5.0644 -1.7290 -2.2980
-3.3746 -3.7657 2.8898
-5.0143 1.7779 2.3317
Na Nd I O
2 1 1 6
direct
0.5529 0.5527 0.3419
0.0795 0.0797 0.7611
0.8162 0.8162 0.5515
0.3162 0.3162 0.0515
0.5276 0.1855 0.2844
0.1855 0.0025 0.2849
0.0027 0.5273 0.2848
0.4468 0.6299 0.8182
0.6296 0.1050 0.8183
0.1047 0.4468 0.8187
```



Record 10
Density functional theory data (GGA-PBE) for a relaxed NaNdPb2I8 crystal.

Values from the calculation:
The calculation puts the density of states at the Fermi level at 0.0000 states/eV/atom.

```
NaNdPb2I8
1.0
7.7949 0.0200 -0.0049
0.0671 7.3316 -0.0085
0.0061 0.0112 9.4813
Na Nd Pb I
1 1 2 8
direct
0.0000 0.0000 0.5000
0.0000 0.0000 0.0000
0.5001 0.5000 0.7428
0.4999 0.5000 0.2572
0.1534 0.7586 0.2427
0.6668 0.7589 0.0000
0.8464 0.2412 0.2427
0.8466 0.2414 0.7573
0.3332 0.2411 0.0000
0.1536 0.7588 0.7573
0.6560 0.7416 0.5000
0.3440 0.2584 0.5000
```



Record 11
Density functional theory data (GGA-PBE) for a relaxed NaNdPbI6 crystal.

Values from the calculation:
The calculation puts the density of states at the Fermi level at 0.0000 states/eV/atom.

```
NaNdPbI6
1.0
-1.8663 -3.5240 -6.4736
6.6154 2.1436 -3.0742
6.0987 -11.9858 4.7664
Na Nd Pb I
2 2 2 12
direct
0.5000 0.5000 0.1674
0.0000 0.0000 0.6674
0.5000 0.5000 0.8334
0.0000 0.0000 0.3334
0.5000 0.5000 0.4998
0.0000 0.0000 0.9998
0.1957 0.8043 0.4965
0.8043 0.1957 0.4965
0.3043 0.3043 0.9965
0.6957 0.6957 0.9965
0.1967 0.8033 0.1720
0.8033 0.1967 0.1720
0.3033 0.3033 0.6720
0.6967 0.6967 0.6720
0.7934 0.2066 0.8313
0.2066 0.7934 0.8313
0.7066 0.7066 0.3313
0.2934 0.2934 0.3313
```



Record 12
Density functional theory data (GGA-PBE) for a relaxed RbNaNd2I8 crystal.

Values from the calculation:
The calculation puts the density of states at the Fermi level at 0.0000 states/eV/atom.

```
RbNaNd2I8
1.0
8.2360 0.0000 0.0000
-4.1180 7.1326 0.0000
0.0000 0.0000 9.4219
Rb Na Nd I
1 1 2 8
direct
0.0000 0.0000 0.5000
0.0000 0.0000 0.0000
0.6667 0.3333 0.0937
0.3333 0.6667 0.9063
0.9355 0.6298 0.8413
0.3702 0.3058 0.8413
0.6942 0.0645 0.8413
0.0645 0.3702 0.1587
0.6298 0.6942 0.1587
0.3058 0.9355 0.1587
0.6667 0.3333 0.4159
0.3333 0.6667 0.5841
```



Record 13
Density functional theory data (GGA-PBE) for a relaxed NaNdSn2I8 crystal.

Values from the calculation:
The calculation puts the density of states at the Fermi level at 0.0000 states/eV/atom.

```
NaNdSn2I8
1.0
-0.8421 0.8912 -7.6905
5.9985 -3.9563 -1.2545
-5.1838 -7.7602 -0.3316
Na Nd Sn I
1 1 2 8
direct
0.0000 0.0000 0.5000
0.0000 0.0000 0.0000
0.5001 0.5000 0.7430
0.4999 0.5000 0.2570
0.1556 0.7545 0.2450
0.6683 0.7586 0.9999
0.8441 0.2452 0.2449
0.8444 0.2455 0.7550
0.3317 0.2414 0.0001
0.1559 0.7548 0.7551
0.6506 0.7367 0.5000
0.3494 0.2633 0.5000
```



Record 14
Density functional theory data (GGA-PBE) for a relaxed Na2NdTlI6 crystal.

Values from the calculation:
The calculation puts the density of states at the Fermi level at 0.0000 states/eV/atom.

```
Na2NdTlI6
1.0
-2.8382 -1.7020 -7.5224
-7.4573 -3.3254 -0.9281
-6.4483 5.2032 -3.2388
Na Nd Tl I
2 1 1 6
direct
0.5150 0.5148 0.4556
0.0039 0.0039 0.9890
0.3259 0.3259 0.0221
0.8135 0.8137 0.5590
0.5839 0.2434 0.2396
0.2433 0.9327 0.2396
0.9327 0.5843 0.2397
0.3787 0.7279 0.7568
0.7282 0.1362 0.7569
0.1364 0.3787 0.7569
```



Record 15
Density functional theory data (GGA-PBE) for a relaxed NaNdTl2I6 crystal.

Values from the calculation:
The calculation puts the density of states at the Fermi level at 0.0000 states/eV/atom.

```
NaNdTl2I6
1.0
-0.2310 -8.2662 -2.1233
-1.5554 -5.9012 5.9715
-7.7424 -4.1835 -0.0438
Na Nd Tl I
1 1 2 6
direct
0.8186 0.8187 0.5441
0.3236 0.3236 0.0292
0.5271 0.5270 0.4189
0.0216 0.0216 0.9353
0.5785 0.1817 0.2636
0.1817 0.9761 0.2636
0.9762 0.5785 0.2636
0.4562 0.6789 0.7656
0.6789 0.0992 0.7656
0.0992 0.4563 0.7656
```



Record 16
Density functional theory data (GGA-PBE) for a relaxed NaNiI crystal.

Values from the calculation:
For the distance to the lowest polymorph of the same formula, the calculation gives 0.02 eV per formula unit. The calculation puts the density of states at the Fermi level at 0.2590 states/eV/atom.

```
NaNiI
1.0
-7.1131 3.4303 -5.1892
-0.7267 -3.2953 -2.9040
-1.6890 -0.2596 4.0359
I Ni Na
2 2 2
direct
0.6736 0.3457 0.4468
0.1980 0.1720 0.6258
0.7230 0.6495 0.1226
0.6799 0.0008 0.7771
0.9831 0.8900 0.8741
0.4106 0.7747 0.0344
```



Record 17
Density functional theory data (GGA-PBE) for a relaxed NaNiI crystal.

Values from the calculation:
For the distance to the lowest polymorph of the same formula, the calculation gives 0.77 eV per formula unit. The calculation puts the density of states at the Fermi level at 0.0684 states/eV/atom.

```
NaNiI
1.0
1.7304 -3.8007 -1.6345
-1.5954 -1.7305 -3.8172
2.5004 0.0931 -3.7216
I Ni Na
1 1 1
direct
0.7500 0.7500 0.7500
0.5000 0.5000 0.5000
0.2500 0.2500 0.2500
```



Record 18
Density functional theory data (GGA-PBE) for a relaxed NaNiI crystal.

Values from the calculation:
For the distance to the lowest polymorph of the same formula, the calculation gives 0.14 eV per formula unit. The calculation puts the density of states at the Fermi level at 0.0000 states/eV/atom.

```
NaNiI
1.0
5.9015 -0.0214 -0.0070
1.2686 3.6291 -0.0001
-2.9050 -1.0679 7.4847
I Na Ni
2 2 2
direct
0.6946 0.4160 0.0165
0.3348 0.8039 0.4452
0.8575 0.1268 0.6111
0.1354 0.6828 0.9916
0.4444 0.9507 0.8393
0.3074 0.4199 0.6452
```



no.,raw formation energy (eV/atom)
1,-0.9509
2,-1.0630
3,-1.2934
4,-1.2802
5,-1.2827
6,-1.1235
7,-1.3547
8,-2.0435
9,-1.6102
10,-0.9700
11,-1.0942
12,-1.3478
13,-0.8998
14,-1.1918
15,-1.0765
16,-0.2254
17,0.0262
18,-0.1852